1.
Density functional theory data (GGA-PBE) for a geometry-optimized LaZnCo2 structure.

It has space group Pm (No. 6), with a = 3.967 Å, b = 3.873 Å, c = 5.123 Å, α = 90.00°, β = 112.69° and γ = 90.00°. The asymmetric unit holds La at (0.000, 0.000, 0.000), Zn at (0.293, 0.500, 0.587), Co at (0.607, 0.500, 0.215) and Co at (0.720, 0.000, 0.445).

As for the density: 7.368 Mg/m³. The formation energy comes out at 31 meV per atom. As for the density of states at the Fermi level: 1.02 states/eV/atom.



2.
Density functional theory data (GGA-PBE) for a geometry-optimized La3ZnCo2 structure.

It has space group P2_1/c (No. 14), with a = 8.118 Å, b = 8.625 Å, c = 10.485 Å, α = 90.00°, β = 126.45° and γ = 90.00°. The asymmetric unit holds La at (0.230, 0.225, 0.339), La at (0.256, 0.538, 0.103), La at (0.261, 0.537, 0.568), Zn at (0.239, 0.722, 0.820), Co at (0.007, 0.501, 0.248) and Co at (0.470, 0.244, 0.701).

As for the density: 6.749 Mg/m³. The formation energy comes out at -110 meV per atom. As for the density of states at the Fermi level: 0.68 states/eV/atom.



3.
Density functional theory data (GGA-PBE) for a geometry-optimized La4ZnCo structure.

It has space group P2_1/m (No. 11), with a = 6.105 Å, b = 7.156 Å, c = 8.066 Å, α = 90.00°, β = 97.44° and γ = 90.00°. The asymmetric unit holds La at (0.103, 0.250, 0.072), La at (0.170, 0.750, 0.376), La at (0.382, 0.505, 0.778), Zn at (0.288, 0.250, 0.445) and Co at (0.335, 0.750, 0.059).

As for the density: 6.463 Mg/m³. The formation energy comes out at -138 meV per atom. As for the energy above the lowest structure with this stoichiometry: 0 meV per atom. As for the density of states at the Fermi level: 1.14 states/eV/atom.



4.
Density functional theory data (GGA-PBE) for a geometry-optimized La2Zn3Co2 structure.

It has space group C2/m (No. 12), with a = 9.697 Å, b = 4.423 Å, c = 6.535 Å, α = 90.00°, β = 106.72° and γ = 90.00°. The asymmetric unit holds La at (0.125, 0.000, 0.348), Zn at (0.000, 0.500, 0.000), Zn at (0.207, 0.000, 0.883) and Co at (0.078, 0.500, 0.673).

As for the density: 7.322 Mg/m³. The formation energy comes out at -174 meV per atom. As for the density of states at the Fermi level: 0.89 states/eV/atom.



5.
Density functional theory data (GGA-PBE) for a geometry-optimized La2ZnCo2 structure.

It has space group P4/mbm (No. 127), with a = 7.171 Å, b = 7.171 Å, c = 4.038 Å, α = 90.00°, β = 90.00° and γ = 90.00°. The asymmetric unit holds La at (0.185, 0.315, 0.000), Zn at (0.000, 0.000, 0.500) and Co at (0.113, 0.613, 0.500).

As for the density: 7.374 Mg/m³. The formation energy comes out at -109 meV per atom. As for the density of states at the Fermi level: 1.22 states/eV/atom.



6.
Density functional theory data (GGA-PBE) for a geometry-optimized La7Zn2Co2 structure.

It has space group Cmmm (No. 65), with a = 7.839 Å, b = 11.526 Å, c = 7.124 Å, α = 90.00°, β = 90.00° and γ = 90.00°. The asymmetric unit holds La at (0.000, 0.000, 0.000), La at (0.000, 0.500, 0.247), La at (0.250, 0.250, 0.255), Zn at (0.160, 0.000, 0.500) and Co at (0.000, 0.300, 0.000).

As for the density: 6.299 Mg/m³. The formation energy comes out at -104 meV per atom. As for the density of states at the Fermi level: 1.29 states/eV/atom.



7.
Density functional theory data (GGA-PBE) for a geometry-optimized LaZnCo2 structure.

It has space group R3m (No. 160, hexagonal axes), with a = 3.0436 Å, b = 3.0436 Å, c = 26.5713 Å, α = 90.00°, β = 90.00° and γ = 120.00°. The asymmetric unit holds La at (0.0000, 0.0000, 0.0000), Zn at (0.0000, 0.0000, 0.7726), Co at (0.0000, 0.0000, 0.2364) and Co at (0.0000, 0.0000, 0.5107).

As for the density: 7.529 Mg/m³. The formation energy comes out at 462 meV per atom. As for the density of states at the Fermi level: 1.02 states/eV/atom.



8.
Density functional theory data (GGA-PBE) for a geometry-optimized La2ZnCo2 structure.

It has space group I4/mmm (No. 139), with a = 3.437 Å, b = 3.437 Å, c = 18.519 Å, α = 90.00°, β = 90.00° and γ = 90.00°. The asymmetric unit holds La at (0.000, 0.000, 0.118), Zn at (0.000, 0.000, 0.500) and Co at (0.000, 0.500, 0.250).

As for the density: 7.001 Mg/m³. The formation energy comes out at 54 meV per atom. As for the density of states at the Fermi level: 1.28 states/eV/atom.



9.
Density functional theory data (GGA-PBE) for a geometry-optimized LaZn4Co structure.

It has space group Cmcm (No. 63), with a = 4.763 Å, b = 13.785 Å, c = 6.674 Å, α = 90.00°, β = 90.00° and γ = 90.00°. The asymmetric unit holds La at (0.000, 0.102, 0.250), Zn at (0.000, 0.119, 0.750), Zn at (0.000, 0.285, 0.560), Zn at (0.000, 0.500, 0.000) and Co at (0.000, 0.374, 0.250).

As for the density: 6.964 Mg/m³. The formation energy comes out at -146 meV per atom. As for the energy above the lowest structure with this stoichiometry: 0 meV per atom. As for the density of states at the Fermi level: 0.55 states/eV/atom.



10.
Density functional theory data (GGA-PBE) for a geometry-optimized LaZr4Co structure.

It has space group F-43m (No. 216), with a = 8.301 Å, b = 8.301 Å, c = 8.301 Å, α = 90.00°, β = 90.00° and γ = 90.00°. The asymmetric unit holds La at (0.000, 0.000, 0.000), Zr at (0.125, 0.125, 0.625) and Co at (0.250, 0.250, 0.250).

As for the density: 6.535 Mg/m³. The formation energy comes out at 571 meV per atom. As for the density of states at the Fermi level: 1.57 states/eV/atom.



11.
Density functional theory data (GGA-PBE) for a geometry-optimized LaZr2Co structure.

It has space group R3m (No. 160, hexagonal axes), with a = 4.1058 Å, b = 4.1058 Å, c = 20.0802 Å, α = 90.00°, β = 90.00° and γ = 120.00°. The asymmetric unit holds La at (0.0000, 0.0000, 0.0000), Zr at (0.0000, 0.0000, 0.5545), Zr at (0.0000, 0.0000, 0.7867) and Co at (0.0000, 0.0000, 0.1761).

As for the density: 6.462 Mg/m³. The formation energy comes out at 39 meV per atom. As for the energy above the lowest structure with this stoichiometry: 50 meV per atom. As for the density of states at the Fermi level: 0.70 states/eV/atom.



12.
Density functional theory data (GGA-PBE) for a geometry-optimized LaZr2Co structure.

It has space group Cm (No. 8), with a = 11.092 Å, b = 3.384 Å, c = 5.483 Å, α = 90.00°, β = 116.65° and γ = 90.00°. The asymmetric unit holds La at (0.000, 0.000, 0.000), Zr at (0.195, 0.000, 0.715), Zr at (0.392, 0.000, 0.396) and Co at (0.212, 0.500, 0.384).

As for the density: 6.866 Mg/m³. The formation energy comes out at 33 meV per atom. As for the energy above the lowest structure with this stoichiometry: 44 meV per atom. As for the density of states at the Fermi level: 1.16 states/eV/atom.



13.
Density functional theory data (GGA-PBE) for a geometry-optimized LaZrCo structure.

It has space group I4mm (No. 107), with a = 3.327 Å, b = 3.327 Å, c = 12.316 Å, α = 90.00°, β = 90.00° and γ = 90.00°. The asymmetric unit holds La at (0.000, 0.000, 0.000), Zr at (0.000, 0.000, 0.267) and Co at (0.000, 0.000, 0.675).

As for the density: 7.042 Mg/m³. The formation energy comes out at -7 meV per atom. As for the energy above the lowest structure with this stoichiometry: 54 meV per atom. As for the density of states at the Fermi level: 1.80 states/eV/atom.



14.
Density functional theory data (GGA-PBE) for a geometry-optimized LaZr2Co structure.

It has space group R-3m (No. 166, hexagonal axes), with a = 3.9456 Å, b = 3.9456 Å, c = 22.2349 Å, α = 90.00°, β = 90.00° and γ = 120.00°. The asymmetric unit holds La at (0.0000, 0.0000, 0.0000), Zr at (0.0000, 0.0000, 0.2164) and Co at (0.0000, 0.0000, 0.5000).

As for the density: 6.320 Mg/m³. The formation energy comes out at 82 meV per atom. As for the energy above the lowest structure with this stoichiometry: 93 meV per atom. As for the density of states at the Fermi level: 1.53 states/eV/atom.



15.
Density functional theory data (GGA-PBE) for a geometry-optimized LaZrCo structure.

It has space group P3m1 (No. 156), with a = 4.2154 Å, b = 4.2154 Å, c = 4.6864 Å, α = 90.00°, β = 90.00° and γ = 120.00°. The asymmetric unit holds La at (0.0000, 0.0000, 0.0000), Zr at (0.3333, 0.6667, 0.4973) and Co at (0.6667, 0.3333, 0.5946).

As for the density: 6.656 Mg/m³. The formation energy comes out at 70 meV per atom. As for the energy above the lowest structure with this stoichiometry: 131 meV per atom. As for the density of states at the Fermi level: 1.01 states/eV/atom.



16.
Density functional theory data (GGA-PBE) for a geometry-optimized LaZr2Co structure.

It has space group P4mm (No. 99), with a = 3.273 Å, b = 3.273 Å, c = 8.472 Å, α = 90.00°, β = 90.00° and γ = 90.00°. The asymmetric unit holds La at (0.000, 0.000, 0.000), Zr at (0.000, 0.000, 0.595), Zr at (0.500, 0.500, 0.346) and Co at (0.500, 0.500, 0.758).

As for the density: 6.956 Mg/m³. The formation energy comes out at -10 meV per atom. As for the energy above the lowest structure with this stoichiometry: 1 meV per atom. As for the density of states at the Fermi level: 1.31 states/eV/atom.



17.
Density functional theory data (GGA-PBE) for a geometry-optimized LaZrCo structure.

It has space group F-43m (No. 216), with a = 6.590 Å, b = 6.590 Å, c = 6.590 Å, α = 90.00°, β = 90.00° and γ = 90.00°. The asymmetric unit holds La at (0.000, 0.000, 0.000), Zr at (0.000, 0.000, 0.500) and Co at (0.250, 0.250, 0.750).

As for the density: 6.707 Mg/m³. The formation energy comes out at 192 meV per atom. As for the energy above the lowest structure with this stoichiometry: 253 meV per atom. As for the density of states at the Fermi level: 1.73 states/eV/atom.



18.
Density functional theory data (GGA-PBE) for a geometry-optimized LaZr2Co structure.

It has space group Fm-3m (No. 225), with a = 6.859 Å, b = 6.859 Å, c = 6.859 Å, α = 90.00°, β = 90.00° and γ = 90.00°. The asymmetric unit holds La at (0.000, 0.000, 0.000), Zr at (0.250, 0.250, 0.250) and Co at (0.000, 0.000, 0.500).

As for the density: 7.828 Mg/m³. The formation energy comes out at 262 meV per atom. As for the energy above the lowest structure with this stoichiometry: 274 meV per atom. As for the density of states at the Fermi level: 0.93 states/eV/atom.



19.
Density functional theory data (GGA-PBE) for a geometry-optimized LaZr2Co structure.

It has space group P4/mmm (No. 123), with a = 4.084 Å, b = 4.084 Å, c = 5.320 Å, α = 90.00°, β = 90.00° and γ = 90.00°. The asymmetric unit holds La at (0.000, 0.000, 0.000), Zr at (0.000, 0.500, 0.500) and Co at (0.500, 0.500, 0.000).

As for the density: 7.117 Mg/m³. The formation energy comes out at 308 meV per atom. As for the energy above the lowest structure with this stoichiometry: 319 meV per atom. As for the density of states at the Fermi level: 1.70 states/eV/atom.



20.
Density functional theory data (GGA-PBE) for a geometry-optimized La2ZrCo9 structure.

It has space group R-3m (No. 166, hexagonal axes), with a = 4.8874 Å, b = 4.8874 Å, c = 25.5698 Å, α = 90.00°, β = 90.00° and γ = 120.00°. The asymmetric unit holds La at (0.0000, 0.0000, 0.1388), Zr at (0.0000, 0.0000, 0.0000), Co at (0.0000, 0.0000, 0.3328), Co at (0.0000, 0.0000, 0.5000) and Co at (0.0033, 0.5017, 0.0760).

As for the density: 8.471 Mg/m³. The formation energy comes out at -72 meV per atom. As for the density of states at the Fermi level: 1.40 states/eV/atom.